[1]
Compound: Li2AlTc
Source: Alexandria via LeMat-Bulk
Functional: PBE-GGA
Structure: optimized geometry

```
Li2AlTc
1.0
2.601 0.000 0.000
0.000 4.513 0.000
0.000 0.000 5.047
Li Al Tc
2 1 1
direct
0.000 0.000 0.235
0.000 0.000 0.765
0.500 0.500 0.500
0.500 0.500 0.000
```

Summary:
Calculated total energy = -17.521 eV/cell
N(E_F) = 0.437 states/eV/atom
Total moment = 0.00 μB per formula unit

---

[2]
Compound: TmSnIr
Source: Alexandria via LeMat-Bulk
Functional: PBE-GGA
Structure: optimized geometry

```
TmSnIr
1.0
7.608 0.000 0.000
-3.804 6.588 0.000
0.000 0.000 3.725
Tm Sn Ir
3 3 3
direct
0.000 0.599 0.000
0.401 0.401 0.000
0.599 0.000 0.000
0.000 0.267 0.500
0.267 0.000 0.500
0.733 0.733 0.500
0.000 0.000 0.000
0.333 0.667 0.500
0.667 0.333 0.500
```

Summary:
Calculated total energy = -59.633 eV/cell
N(E_F) = 0.447 states/eV/atom
Total moment = 0.00 μB per formula unit

---

[3]
Compound: Mg2SbCl
Source: Alexandria via LeMat-Bulk
Functional: PBE-GGA
Structure: optimized geometry

```
Mg2SbCl
1.0
4.218 0.000 0.000
0.000 4.912 0.000
0.000 0.000 10.020
Mg Sb Cl
4 2 2
direct
0.000 0.000 0.000
0.000 0.500 0.246
0.500 0.000 0.246
0.500 0.500 0.000
0.000 0.000 0.464
0.500 0.500 0.464
0.000 0.500 0.860
0.500 0.000 0.860
```

Summary:
Calculated total energy = -22.470 eV/cell
Energy relative to the lowest polymorph listed for this composition = 222 meV/atom
Formation energy from raw total energies = -0.519 eV/atom
N(E_F) = 0.393 states/eV/atom
Total moment = 0.00 μB per formula unit

---

[4]
Compound: Y2ScFePb
Source: Alexandria via LeMat-Bulk
Functional: PBE-GGA
Structure: optimized geometry

```
Y2ScFePb
1.0
5.198 0.000 0.000
0.000 5.198 0.000
0.000 0.000 4.792
Y Sc Fe Pb
2 1 1 1
direct
0.000 0.500 0.000
0.500 0.000 0.000
0.000 0.000 0.500
0.000 0.000 0.000
0.500 0.500 0.500
```

Summary:
Calculated total energy = -31.931 eV/cell
N(E_F) = 0.789 states/eV/atom
Total moment = 0.00 μB per formula unit

---

[5]
Compound: PrSm2F11
Source: Alexandria via LeMat-Bulk
Functional: PBE-GGA
Structure: optimized geometry

```
PrSm2F11
1.0
-4.321 5.243 5.870
4.321 -5.243 5.870
4.321 5.243 -5.870
Pr Sm F
2 4 22
direct
0.250 0.250 0.000
0.750 0.750 0.000
0.189 0.659 0.849
0.311 0.159 0.470
0.689 0.841 0.530
0.811 0.341 0.151
0.000 0.500 0.500
0.031 0.963 0.278
0.055 0.337 0.130
0.185 0.463 0.932
0.192 0.392 0.584
0.207 0.925 0.870
0.293 0.163 0.718
0.308 0.892 0.200
0.315 0.247 0.278
0.445 0.575 0.282
0.469 0.747 0.932
0.500 0.000 0.500
0.531 0.253 0.068
0.555 0.425 0.718
0.685 0.753 0.722
0.692 0.108 0.800
0.707 0.837 0.282
0.793 0.075 0.130
0.808 0.608 0.416
0.815 0.537 0.068
0.945 0.663 0.870
0.969 0.037 0.722
```

Summary:
Calculated total energy = -164.974 eV/cell
Formation energy from raw total energies = -3.406 eV/atom
N(E_F) = 0.959 states/eV/atom
Total moment = 2.12 μB per formula unit

---

[6]
Compound: Pm5Sb4As
Source: Alexandria via LeMat-Bulk
Functional: PBE-GGA
Structure: optimized geometry

```
Pm5Sb4As
1.0
-2.224 2.224 15.696
2.224 -2.224 15.696
2.224 2.224 -15.696
Pm Sb As
5 4 1
direct
0.000 0.000 0.000
0.200 0.200 0.000
0.405 0.405 0.000
0.595 0.595 0.000
0.800 0.800 0.000
0.099 0.099 0.000
0.302 0.302 0.000
0.698 0.698 0.000
0.901 0.901 0.000
0.500 0.500 0.000
```

Summary:
Calculated total energy = -57.263 eV/cell
Formation energy from raw total energies = -1.237 eV/atom
N(E_F) = 0.131 states/eV/atom
Total moment = 0.00 μB per formula unit